No. 1
VASP calculation (PBE) on an optimized crystal structure of HfZn2.

The total energy is -105.1 eV/cell. The value obtained for the formation energy is -0.21 eV/atom.

a = 7.3483 Å, b = 7.3483 Å, c = 7.3483 Å
α = 90.00°, β = 90.00°, γ = 90.00°
Last column: nearest neighbours and their distance in Å.
Space group Fd-3m (No. 227, origin choice 2)
Unique sites:
Hf (0.1250, 0.1250, 0.1250) (multiplicity 8)  12 Zn 3.05, 4 Hf 3.18
Zn (0.0000, 0.0000, 0.5000) (multiplicity 16)  6 Zn 2.60

***

No. 2
VASP calculation (PBE) on an optimized crystal structure of HfZn2.

The total energy is -26.4 eV/cell. The value obtained for the formation energy is -0.23 eV/atom.

a = 4.2932 Å, b = 4.2932 Å, c = 6.3843 Å
α = 90.00°, β = 90.00°, γ = 120.00°
Last column: nearest neighbours and their distance in Å.
Space group P6_3/mmc (No. 194)
Unique sites:
Hf (0.0000, 0.0000, 0.2500) (multiplicity 2)  12 Zn 2.87-3.03, 2 Hf 3.19
Zn (0.3333, 0.6667, 0.0228) (multiplicity 4)  3 Zn 2.50